[1]
First-principles (PBE) data for CrTc2Mo after structural relaxation, as listed in Alexandria.

Unit cell a=3.875 b=3.875 c=3.821 alpha=90.00 beta=90.00 gamma=90.00
Space group P4/mmm (No. 123)
Inequivalent atoms, fractional coordinates:
Cr  0.000  0.000  0.000
Tc  0.000  0.500  0.500
Mo  0.500  0.500  0.000

Spin magnetization, μB/f.u.: 0.00
Energy of formation, eV per formula unit: 0.82
Electronic total energy, eV/f.u.: -40.37

=====

[2]
First-principles (PBE) data for CrTc2Mo after structural relaxation, as listed in Alexandria.

Unit cell a=2.678 b=4.277 c=5.074 alpha=90.00 beta=99.74 gamma=90.00
Space group P2/m (No. 10)
Inequivalent atoms, fractional coordinates:
Cr  0.000  0.000  0.000
Tc  0.222  0.500  0.762
Mo  0.500  0.000  0.500

Spin magnetization, μB/f.u.: 0.00
Energy of formation, eV per formula unit: 0.52
Electronic total energy, eV/f.u.: -40.66

=====

[3]
First-principles (PBE) data for CrTcMo after structural relaxation, as listed in Alexandria.

Unit cell a=3.055 b=4.374 c=12.734 alpha=90.00 beta=90.00 gamma=90.00
Space group Fmm2 (No. 42)
Inequivalent atoms, fractional coordinates:
Cr  0.000  0.000  0.000
Tc  0.000  0.000  0.341
Mo  0.000  0.000  0.663

Spin magnetization, μB/f.u.: 0.00
Energy of formation, eV per formula unit: 0.36
Distance to the lowest polymorph of the same formula, eV per formula unit: 0.136
Electronic total energy, eV/f.u.: -30.46

=====

[4]
First-principles (PBE) data for CrTcMo3 after structural relaxation, as listed in Alexandria.

Unit cell a=4.412 b=4.412 c=4.412 alpha=90.00 beta=90.00 gamma=90.00
Space group Pm-3m (No. 221)
Inequivalent atoms, fractional coordinates:
Cr  0.000  0.000  0.000
Tc  0.500  0.500  0.500
Mo  0.000  0.000  0.500

Spin magnetization, μB/f.u.: 0.02
Energy of formation, eV per formula unit: 6.61
Distance to the lowest polymorph of the same formula, eV per formula unit: 6.251
Electronic total energy, eV/f.u.: -45.87

=====

[5]
First-principles (PBE) data for CrTcMo2 after structural relaxation, as listed in Alexandria.

Unit cell a=3.077 b=4.409 c=8.610 alpha=90.00 beta=90.00 gamma=90.00
Space group Cmmm (No. 65)
Inequivalent atoms, fractional coordinates:
Cr  0.000  0.000  0.000
Tc  0.000  0.000  0.500
Mo  0.000  0.500  0.240

Spin magnetization, μB/f.u.: 0.00
Energy of formation, eV per formula unit: 0.37
Distance to the lowest polymorph of the same formula, eV per formula unit: 0.200
Electronic total energy, eV/f.u.: -41.28

=====

[6]
First-principles (PBE) data for CrTc2Mo after structural relaxation, as listed in Alexandria.

Unit cell a=3.863 b=3.863 c=7.694 alpha=90.00 beta=90.00 gamma=90.00
Space group I4/mmm (No. 139)
Inequivalent atoms, fractional coordinates:
Cr  0.000  0.000  0.000
Tc  0.000  0.500  0.250
Mo  0.000  0.000  0.500

Spin magnetization, μB/f.u.: 0.00
Energy of formation, eV per formula unit: 0.87
Electronic total energy, eV/f.u.: -40.32

=====

[7]
First-principles (PBE) data for CrTcTeMo2 after structural relaxation, as listed in Alexandria.

Unit cell a=4.788 b=4.788 c=4.470 alpha=90.00 beta=90.00 gamma=90.00
Space group P4/mmm (No. 123)
Inequivalent atoms, fractional coordinates:
Cr  0.000  0.000  0.000
Tc  0.000  0.000  0.500
Te  0.500  0.500  0.000
Mo  0.000  0.500  0.500

Raw formation energy, eV per formula unit: 7.34
Spin magnetization, μB/f.u.: 0.98
Electronic total energy, eV/f.u.: -37.45

=====

[8]
First-principles (PBE) data for Tl2CrTcMo after structural relaxation, as listed in Alexandria.

Unit cell a=5.317 b=5.317 c=4.564 alpha=90.00 beta=90.00 gamma=90.00
Space group P4/mmm (No. 123)
Inequivalent atoms, fractional coordinates:
Tl  0.000  0.500  0.000
Cr  0.000  0.000  0.500
Tc  0.500  0.500  0.500
Mo  0.500  0.500  0.000

Spin magnetization, μB/f.u.: 0.33
Energy of formation, eV per formula unit: 9.91
Electronic total energy, eV/f.u.: -25.64

=====

[9]
First-principles (PBE) data for VCrTcMo after structural relaxation, as listed in Alexandria.

Unit cell a=3.024 b=3.024 c=6.063 alpha=90.00 beta=90.00 gamma=90.00
Space group P4mm (No. 99)
Inequivalent atoms, fractional coordinates:
V  0.000  0.000  0.000
Cr  0.500  0.500  0.237
Tc  0.500  0.500  0.753
Mo  0.000  0.000  0.481

Spin magnetization, μB/f.u.: 0.00
Energy of formation, eV per formula unit: -0.49
Electronic total energy, eV/f.u.: -40.43

=====

[10]
First-principles (PBE) data for VCrTcMo after structural relaxation, as listed in Alexandria.

Unit cell a=6.057 b=6.057 c=6.057 alpha=90.00 beta=90.00 gamma=90.00
Space group F-43m (No. 216)
Inequivalent atoms, fractional coordinates:
V  0.000  0.000  0.000
Cr  0.250  0.250  0.750
Tc  0.250  0.250  0.250
Mo  0.000  0.000  0.500

Spin magnetization, μB/f.u.: 0.00
Energy of formation, eV per formula unit: -0.48
Electronic total energy, eV/f.u.: -40.42

=====

[11]
First-principles (PBE) data for Cr2TcMoW after structural relaxation, as listed in Alexandria.

Unit cell a=4.313 b=4.313 c=4.765 alpha=90.00 beta=90.00 gamma=90.00
Space group P4/mmm (No. 123)
Inequivalent atoms, fractional coordinates:
Cr  0.000  0.500  0.000
Tc  0.000  0.000  0.500
Mo  0.500  0.500  0.000
W  0.500  0.500  0.500

Spin magnetization, μB/f.u.: 1.52
Energy of formation, eV per formula unit: 9.87
Electronic total energy, eV/f.u.: -43.53

=====

[12]
First-principles (PBE) data for CrTcMoW after structural relaxation, as listed in Alexandria.

Unit cell a=6.169 b=6.169 c=6.169 alpha=90.00 beta=90.00 gamma=90.00
Space group F-43m (No. 216)
Inequivalent atoms, fractional coordinates:
Cr  0.000  0.000  0.000
Tc  0.000  0.000  0.500
Mo  0.250  0.250  0.750
W  0.250  0.250  0.250

Spin magnetization, μB/f.u.: 0.00
Energy of formation, eV per formula unit: 0.26
Electronic total energy, eV/f.u.: -43.52

=====

[13]
First-principles (PBE) data for ZrCrTcMo after structural relaxation, as listed in Alexandria.

Unit cell a=6.322 b=6.322 c=6.322 alpha=90.00 beta=90.00 gamma=90.00
Space group F-43m (No. 216)
Inequivalent atoms, fractional coordinates:
Zr  0.000  0.000  0.000
Cr  0.250  0.250  0.250
Tc  0.250  0.250  0.750
Mo  0.000  0.000  0.500

Spin magnetization, μB/f.u.: 0.00
Energy of formation, eV per formula unit: -0.16
Electronic total energy, eV/f.u.: -39.53

=====

[14]
First-principles (PBE) data for CrTeMo2 after structural relaxation, as listed in Alexandria.

Unit cell a=3.1346 b=3.1346 c=24.2303 alpha=90.00 beta=90.00 gamma=120.00
Space group R3m (No. 160, hexagonal axes)
Inequivalent atoms, fractional coordinates:
Cr  0.0000  0.0000  0.0000
Te  0.0000  0.0000  0.7541
Mo  0.0000  0.0000  0.2595
Mo  0.0000  0.0000  0.5120

Raw formation energy, eV per formula unit: 2.08
Spin magnetization, μB/f.u.: 1.28
Electronic total energy, eV/f.u.: -32.35

=====

[15]
First-principles (PBE) data for CrTe2Mo after structural relaxation, as listed in Alexandria.

Unit cell a=4.357 b=3.700 c=10.160 alpha=90.00 beta=90.00 gamma=90.00
Space group Amm2 (No. 38)
Inequivalent atoms, fractional coordinates:
Cr  0.000  0.000  0.000
Te  0.000  0.000  0.718
Te  0.500  0.000  0.435
Mo  0.500  0.000  0.148

Raw formation energy, eV per formula unit: 0.91
Spin magnetization, μB/f.u.: 2.31
Distance to the lowest polymorph of the same formula, eV per formula unit: 0.950
Electronic total energy, eV/f.u.: -25.83

=====

[16]
First-principles (PBE) data for CrTeMo2 after structural relaxation, as listed in Alexandria.

Unit cell a=3.059 b=4.334 c=5.226 alpha=90.00 beta=106.28 gamma=90.00
Space group Pm (No. 6)
Inequivalent atoms, fractional coordinates:
Cr  0.000  0.000  0.000
Te  0.972  0.500  0.716
Mo  0.381  0.000  0.444
Mo  0.665  0.500  0.187

Raw formation energy, eV per formula unit: 1.87
Spin magnetization, μB/f.u.: 0.00
Electronic total energy, eV/f.u.: -32.56